First-principles (PBE) data for a relaxed Sc2ReSe crystal, as listed in Alexandria.

POSCAR file:
```
Sc2ReSe
1.0
3.4144 0.0000 0.0000
-1.7072 2.9569 0.0000
0.0000 0.0000 22.8887
Sc Re Se
6 3 3
direct
0.0000 0.0000 0.2486 Sc
0.0000 0.0000 0.7514 Sc
0.3333 0.6667 0.4181 Sc
0.3333 0.6667 0.9152 Sc
0.6667 0.3333 0.0848 Sc
0.6667 0.3333 0.5819 Sc
0.0000 0.0000 0.0000 Re
0.3333 0.6667 0.6667 Re
0.6667 0.3333 0.3333 Re
0.0000 0.0000 0.5000 Se
0.3333 0.6667 0.1667 Se
0.6667 0.3333 0.8333 Se
```

Results
Raw formation energy (eV per atom): -0.54
Total magnetic moment (μB per formula unit): 0.00